# 1
A plane-wave DFT calculation with PBE was carried out for K2Ac2TeO6 after structural relaxation.

Geometry as extended XYZ:
```
11
Lattice="6.403 0.009 0.182 -3.156 5.570 0.182 -1.038 -1.785 6.360" Properties=species:S:1:pos:R:3 pbc="T T T"
O 1.429 -0.982 4.369
O 3.768 3.039 2.354
O 0.779 4.777 2.354
O 1.759 3.024 4.630
O 0.449 0.772 2.094
O -1.560 0.757 4.369
Ac -0.461 2.808 3.362
Ac 2.669 0.987 3.362
Te -0.519 -0.892 3.180
K 4.960 0.848 0.182
K -1.714 4.732 0.182
```

=====

# 2
A plane-wave DFT calculation with PBE was carried out for KAcTeO after structural relaxation.

Geometry as extended XYZ:
```
4
Lattice="4.149 0.000 0.000 2.075 3.593 0.000 2.075 1.198 8.307" Properties=species:S:1:pos:R:3 pbc="T T T"
O 4.149 2.396 0.516
Ac 4.149 2.396 7.842
Te 6.224 3.593 5.528
K 2.075 1.198 3.260
```

=====

| no. | E_tot (Ry/atom) |
| --- | --- |
| 1 | -0.4458 |
| 2 | -0.3730 |